Compound: LiMgTe2C
Source: Alexandria via LeMat-Bulk
Functional: PBE
Structure: relaxed

abc: 5.6047 5.6047 4.1344
angles: 90.00 90.00 90.00
Space group P4/mmm (No. 123)
Asymmetric unit:
Li (0.0000, 0.0000, 0.0000) x1
Mg (0.5000, 0.5000, 0.5000) x1
Te (0.0000, 0.5000, 0.5000) x2
C (0.5000, 0.5000, 0.0000) x1

Density of states at the Fermi level ... 4.6 states/eV/f.u.
Final energy ... -2.99 eV/atom
Formation energy (no corrections) ... 0.81 eV per atom
Size of the total moment ... 0.2 μB/f.u.